# 1
A plane-wave DFT calculation with PBE-GGA was carried out for a relaxed structure of AcSmSb.

symmetry	I4mm, No. 107
distance to the lowest polymorph of the same formula	180	meV/atom
uncorrected formation energy	-0.63	eV per atom

Structure (POSCAR):
```
AcSmSb
1.0
4.173 0.000 0.000
0.000 4.173 0.000
0.000 0.000 11.675
Ac Sm Sb
2 2 2
Direct
0.000 0.000 0.000
0.500 0.500 0.500
0.000 0.000 0.294
0.500 0.500 0.794
0.000 0.000 0.679
0.500 0.500 0.179
```

# 2
A plane-wave DFT calculation with PBE-GGA was carried out for a relaxed structure of AcSmSb2.

symmetry	Fm-3m, No. 225
distance to the lowest polymorph of the same formula	294	meV/atom
uncorrected formation energy	-0.89	eV per atom

Structure (POSCAR):
```
AcSmSb2
1.0
7.967 0.000 0.000
0.000 7.967 0.000
0.000 0.000 7.967
Ac Sm Sb
4 4 8
Direct
0.000 0.000 0.000
0.000 0.500 0.500
0.500 0.000 0.500
0.500 0.500 0.000
0.000 0.000 0.500
0.000 0.500 0.000
0.500 0.000 0.000
0.500 0.500 0.500
0.250 0.250 0.250
0.250 0.250 0.750
0.250 0.750 0.250
0.250 0.750 0.750
0.750 0.250 0.250
0.750 0.250 0.750
0.750 0.750 0.250
0.750 0.750 0.750
```

# 3
A plane-wave DFT calculation with PBE-GGA was carried out for a relaxed structure of AcSm3Sb2.

symmetry	C2/m, No. 12
uncorrected formation energy	-0.71	eV per atom

Structure (POSCAR):
```
AcSm3Sb2
1.0
9.509 -2.280 0.000
9.509 2.280 0.000
-4.154 0.000 9.058
Ac Sm Sb
2 6 4
Direct
0.113 0.113 0.128
0.887 0.887 0.872
0.058 0.058 0.675
0.311 0.311 0.114
0.355 0.355 0.525
0.645 0.645 0.475
0.689 0.689 0.886
0.942 0.942 0.325
0.241 0.241 0.709
0.488 0.488 0.162
0.512 0.512 0.838
0.759 0.759 0.291
```

# 4
A plane-wave DFT calculation with PBE-GGA was carried out for a relaxed structure of AcSmSb2.

symmetry	R3m, No. 160
distance to the lowest polymorph of the same formula	127	meV/atom
uncorrected formation energy	-1.06	eV per atom

Structure (POSCAR):
```
AcSmSb2
1.0
4.582 0.000 0.000
-2.291 3.968 0.000
0.000 0.000 23.768
Ac Sm Sb
3 3 6
Direct
0.000 0.000 0.000
0.333 0.667 0.667
0.667 0.333 0.333
0.000 0.000 0.171
0.333 0.667 0.837
0.667 0.333 0.504
0.000 0.000 0.424
0.000 0.000 0.581
0.333 0.667 0.090
0.333 0.667 0.248
0.667 0.333 0.757
0.667 0.333 0.915
```

# 5
A plane-wave DFT calculation with PBE-GGA was carried out for a relaxed structure of AcSmSb2.

symmetry	P6_3/mmc, No. 194
distance to the lowest polymorph of the same formula	36	meV/atom
uncorrected formation energy	-1.15	eV per atom

Structure (POSCAR):
```
AcSmSb2
1.0
4.606 0.000 0.000
-2.303 3.989 0.000
0.000 0.000 15.285
Ac Sm Sb
2 2 4
Direct
0.333 0.667 0.250
0.667 0.333 0.750
0.000 0.000 0.000
0.000 0.000 0.500
0.333 0.667 0.615
0.333 0.667 0.885
0.667 0.333 0.115
0.667 0.333 0.385
```

# 6
A plane-wave DFT calculation with PBE-GGA was carried out for a relaxed structure of Ac4SmSb5.

symmetry	I4/mmm, No. 139
uncorrected formation energy	-1.18	eV per atom

Structure (POSCAR):
```
Ac4SmSb5
1.0
-2.374 2.374 16.732
2.374 -2.374 16.732
2.374 2.374 -16.732
Ac Sm Sb
4 1 5
Direct
0.098 0.098 0.000
0.301 0.301 0.000
0.699 0.699 0.000
0.902 0.902 0.000
0.500 0.500 0.000
0.000 0.000 0.000
0.200 0.200 0.000
0.404 0.404 0.000
0.596 0.596 0.000
0.800 0.800 0.000
```

# 7
A plane-wave DFT calculation with PBE-GGA was carried out for a relaxed structure of AcSmSb.

symmetry	P4/nmm, No. 129
distance to the lowest polymorph of the same formula	0	meV/atom
uncorrected formation energy	-0.81	eV per atom

Structure (POSCAR):
```
AcSmSb
1.0
4.744 0.000 0.000
0.000 4.744 0.000
0.000 0.000 9.160
Ac Sm Sb
2 2 2
Direct
0.250 0.250 0.148
0.750 0.750 0.852
0.250 0.750 0.500
0.750 0.250 0.500
0.250 0.250 0.761
0.750 0.750 0.239
```

# 8
A plane-wave DFT calculation with PBE-GGA was carried out for a relaxed structure of AcSm2Sb3.

symmetry	Immm, No. 71
uncorrected formation energy	-1.16	eV per atom

Structure (POSCAR):
```
AcSm2Sb3
1.0
4.581 0.000 0.000
0.000 6.506 0.000
0.000 0.000 13.746
Ac Sm Sb
2 4 6
Direct
0.000 0.000 0.000
0.500 0.500 0.500
0.000 0.000 0.335
0.000 0.000 0.665
0.500 0.500 0.165
0.500 0.500 0.835
0.000 0.500 0.000
0.000 0.500 0.324
0.000 0.500 0.676
0.500 0.000 0.176
0.500 0.000 0.500
0.500 0.000 0.824
```